# Ta4NiP | the Alexandria database | PBEsol | relaxed
# energy of formation from the pure elements = -0.50 eV per atom
data_Ta4NiP
_space_group_name_H-M_alt 'P 4/m c c'
_space_group_IT_number 124
_space_group_name_Hall '-P 4 2c'
_cell_length_a 6.1040
_cell_length_b 6.1040
_cell_length_c 4.8924
_cell_angle_alpha 90.00
_cell_angle_beta 90.00
_cell_angle_gamma 90.00
loop_
_atom_site_label
_atom_site_type_symbol
_atom_site_fract_x
_atom_site_fract_y
_atom_site_fract_z
Ta1 Ta 0.1606 0.3368 0.0000
Ni1 Ni 0.0000 0.0000 0.2500
P1 P 0.5000 0.5000 0.2500

# NbNiGe | the Alexandria database | PBEsol | relaxed
# energy of formation from the pure elements = -0.52 eV per atom
data_NbNiGe
_space_group_name_H-M_alt 'I 4/m m m'
_space_group_IT_number 139
_space_group_name_Hall '-I 4 2'
_cell_length_a 3.6185
_cell_length_b 3.6185
_cell_length_c 12.9097
_cell_angle_alpha 90.00
_cell_angle_beta 90.00
_cell_angle_gamma 90.00
loop_
_atom_site_label
_atom_site_type_symbol
_atom_site_fract_x
_atom_site_fract_y
_atom_site_fract_z
Nb1 Nb 0.0000 0.0000 0.1728
Ni1 Ni 0.0000 0.5000 0.0000
Ge1 Ge 0.0000 0.0000 0.3779

# KTcW2 | the Alexandria database | PBEsol | relaxed
# energy of formation from the pure elements = 1.01 eV per atom
data_KTcW2
_space_group_name_H-M_alt 'P 1 2/m 1'
_space_group_IT_number 10
_cell_length_a 2.7849
_cell_length_b 4.0472
_cell_length_c 7.9328
_cell_angle_alpha 90.00
_cell_angle_beta 97.28
_cell_angle_gamma 90.00
loop_
_space_group_symop_operation_xyz
'x,y,z'
'-x,-y,-z'
'-x,y,-z'
'x,-y,z'
loop_
_atom_site_label
_atom_site_type_symbol
_atom_site_fract_x
_atom_site_fract_y
_atom_site_fract_z
K1 K 0.0000 0.0000 0.0000
Tc1 Tc 0.5000 0.0000 0.5000
W1 W 0.1567 0.5000 0.6479